16
Lattice="7.430 0.000 0.000 0.000 7.430 0.000 0.000 0.000 8.714" Properties=species:S:1:pos:R:3 comment="Ac2ErSn5, optimized geometry, DFT GGA-PBE" e_tot_ev_per_cell=-74.3 vol_a3_per_cell=481.12 dos_at_fermi_per_ev_cell=7.56 pbc="T T T"
Ac 0.000 3.715 0.000
Ac 0.000 3.715 4.357
Ac 3.715 0.000 0.000
Ac 3.715 0.000 4.357
Er 0.000 0.000 0.925
Er 3.715 3.715 5.282
Sn 0.000 0.000 4.300
Sn 1.592 1.592 6.590
Sn 1.592 5.838 6.590
Sn 2.123 2.123 2.233
Sn 2.123 5.307 2.233
Sn 3.715 3.715 8.657
Sn 5.307 2.123 2.233
Sn 5.307 5.307 2.233
Sn 5.838 1.592 6.590
Sn 5.838 5.838 6.590